Here is a relaxed YSc2Fe2 crystal from Alexandria via LeMat-Bulk. Energies are from PBE-GGA.

The structure in CIF format:
```
data_YSc2Fe2
_chemical_formula_sum 'Y2 Sc4 Fe4'
_cell_length_a 7.6729
_cell_length_b 7.6729
_cell_length_c 3.0746
_cell_angle_alpha 90.00
_cell_angle_beta 90.00
_cell_angle_gamma 90.00
_space_group_name_H-M_alt 'P 4/m b m'
_space_group_IT_number 127
_space_group_name_Hall '-P 4 2ab'
loop_
_atom_site_label
_atom_site_type_symbol
_atom_site_fract_x
_atom_site_fract_y
_atom_site_fract_z
_atom_site_occupancy
Y1 Y 0.0000 0.0000 0.0000 1
Sc1 Sc 0.1305 0.3695 0.0000 1
Fe1 Fe 0.1676 0.6676 0.5000 1
```

## Properties
Energy above the most stable polymorph in this dataset   188 meV/atom
Crystal system   tetragonal
Theoretical density   5.33 Mg/m³

---

Here is a relaxed Y2ScFe crystal from Alexandria via LeMat-Bulk. Energies are from PBE-GGA.

The structure in CIF format:
```
data_Y2ScFe
_chemical_formula_sum 'Y4 Sc2 Fe2'
_cell_length_a 3.4865
_cell_length_b 5.1596
_cell_length_c 10.4191
_cell_angle_alpha 90.00
_cell_angle_beta 90.00
_cell_angle_gamma 90.00
_space_group_name_H-M_alt 'I m m m'
_space_group_IT_number 71
_space_group_name_Hall '-I 2 2'
loop_
_atom_site_label
_atom_site_type_symbol
_atom_site_fract_x
_atom_site_fract_y
_atom_site_fract_z
_atom_site_occupancy
Y1 Y 0.0000 0.0000 0.1937 1
Sc1 Sc 0.0000 0.5000 0.0000 1
Fe1 Fe 0.0000 0.5000 0.5000 1
```

## Properties
Energy above the most stable polymorph in this dataset   76 meV/atom
Crystal system   orthorhombic
Theoretical density   4.94 Mg/m³

---

Here is a relaxed YScFe2 crystal from Alexandria via LeMat-Bulk. Energies are from PBE-GGA.

The structure in CIF format:
```
data_YScFe2
_chemical_formula_sum 'Y2 Sc2 Fe4'
_cell_length_a 3.7980
_cell_length_b 4.1247
_cell_length_c 9.7330
_cell_angle_alpha 90.00
_cell_angle_beta 90.00
_cell_angle_gamma 90.00
_space_group_name_H-M_alt 'A m m 2'
_space_group_IT_number 38
loop_
_space_group_symop_operation_xyz
'x,y,z'
'-x,-y,z'
'-x,y,z'
'x,-y,z'
'x,y+1/2,z+1/2'
'-x,-y+1/2,z+1/2'
'-x,y+1/2,z+1/2'
'x,-y+1/2,z+1/2'
loop_
_atom_site_label
_atom_site_type_symbol
_atom_site_fract_x
_atom_site_fract_y
_atom_site_fract_z
_atom_site_occupancy
Y1 Y 0.0000 0.0000 0.0000 1
Sc1 Sc 0.5000 0.0000 0.7106 1
Fe1 Fe 0.0000 0.0000 0.2946 1
Fe2 Fe 0.5000 0.0000 0.3900 1
```

## Properties
Energy   -59.521 eV for the cell shown
Crystal system   orthorhombic
Theoretical density   5.35 Mg/m³

---

Here is a relaxed YSc2Fe2 crystal from Alexandria via LeMat-Bulk. Energies are from PBE-GGA.

The structure in CIF format:
```
data_YSc2Fe2
_chemical_formula_sum 'Y2 Sc4 Fe4'
_cell_length_a 4.1838
_cell_length_b 4.1838
_cell_length_c 11.3491
_cell_angle_alpha 90.00
_cell_angle_beta 90.00
_cell_angle_gamma 90.00
_space_group_name_H-M_alt 'I 4/m m m'
_space_group_IT_number 139
_space_group_name_Hall '-I 4 2'
loop_
_atom_site_label
_atom_site_type_symbol
_atom_site_fract_x
_atom_site_fract_y
_atom_site_fract_z
_atom_site_occupancy
Y1 Y 0.0000 0.0000 0.0000 1
Sc1 Sc 0.0000 0.5000 0.2500 1
Fe1 Fe 0.0000 0.0000 0.4061 1
```

## Properties
Energy above the most stable polymorph in this dataset   10 meV/atom
Crystal system   tetragonal
Theoretical density   4.86 Mg/m³

---

Here is a relaxed YScFe2 crystal from Alexandria via LeMat-Bulk. Energies are from PBE-GGA.

The structure in CIF format:
```
data_YScFe2
_chemical_formula_sum 'Y1 Sc1 Fe2'
_cell_length_a 3.3983
_cell_length_b 3.3983
_cell_length_c 6.3722
_cell_angle_alpha 90.00
_cell_angle_beta 90.00
_cell_angle_gamma 90.00
_space_group_name_H-M_alt 'P 4/m m m'
_space_group_IT_number 123
_space_group_name_Hall '-P 4 2'
loop_
_atom_site_label
_atom_site_type_symbol
_atom_site_fract_x
_atom_site_fract_y
_atom_site_fract_z
_atom_site_occupancy
Y1 Y 0.0000 0.0000 0.0000 1
Sc1 Sc 0.0000 0.0000 0.5000 1
Fe1 Fe 0.5000 0.5000 0.3045 1
```

## Properties
Energy   -29.512 eV for the cell shown
Crystal system   tetragonal
Theoretical density   5.54 Mg/m³

---

Here is a relaxed Y3ScFe8 crystal from Alexandria via LeMat-Bulk. Energies are from PBE-GGA.

The structure in CIF format:
```
data_Y3ScFe8
_chemical_formula_sum 'Y9 Sc3 Fe24'
_cell_length_a 5.0907
_cell_length_b 5.0907
_cell_length_c 24.9202
_cell_angle_alpha 90.00
_cell_angle_beta 90.00
_cell_angle_gamma 120.00
_space_group_name_H-M_alt 'R 3 m'
_space_group_IT_number 160
_space_group_name_Hall 'R 3 -2"'
loop_
_atom_site_label
_atom_site_type_symbol
_atom_site_fract_x
_atom_site_fract_y
_atom_site_fract_z
_atom_site_occupancy
Y1 Y 0.0000 0.0000 0.0000 1
Y2 Y 0.0000 0.0000 0.1260 1
Y3 Y 0.0000 0.0000 0.6232 1
Sc1 Sc 0.0000 0.0000 0.4995 1
Fe1 Fe 0.0000 0.0000 0.3119 1
Fe2 Fe 0.0000 0.0000 0.8128 1
Fe3 Fe 0.9995 0.4998 0.5608 1
Fe4 Fe 0.0021 0.5010 0.0638 1
```

## Properties
Energy   -284.136 eV for the cell shown
Crystal system   trigonal
Theoretical density   6.76 Mg/m³

---

no.,N(E_F) (states/eV/atom)
1,1.83
2,1.09
3,1.08
4,1.13
5,0.85
6,1.15